Record 1
ZrZn2Pt | PBE | optimized geometry

Calculated values
SG: P4/mmm, No. 123
Theoretical density in g/cm³: 10.191

Unit cell a=3.936 b=3.936 c=4.388 alpha=90.00 beta=90.00 gamma=90.00
Element x y z (fractional)
Zr1 0.000 0.000 0.000
Zn1 0.000 0.500 0.500
Zn2 0.500 0.000 0.500
Pt1 0.500 0.500 0.000


Record 2
Pr2DyPt | PBE | optimized geometry

Calculated values
Offset from the most stable computed form in eV/atom: 0.000
SG: Pnma, No. 62
Theoretical density in g/cm³: 8.807

Unit cell a=7.196 b=10.132 c=6.614 alpha=90.00 beta=90.00 gamma=90.00
Element x y z (fractional)
Pr1 0.182 0.062 0.176
Pr2 0.182 0.438 0.176
Pr3 0.318 0.562 0.676
Pr4 0.318 0.938 0.676
Pr5 0.682 0.062 0.324
Pr6 0.682 0.438 0.324
Pr7 0.818 0.562 0.824
Pr8 0.818 0.938 0.824
Dy1 0.033 0.250 0.648
Dy2 0.467 0.750 0.148
Dy3 0.533 0.250 0.852
Dy4 0.967 0.750 0.352
Pt1 0.117 0.750 0.953
Pt2 0.383 0.250 0.453
Pt3 0.617 0.750 0.547
Pt4 0.883 0.250 0.047


no.,N(E_F) (states/eV per cell),total energy (eV/atom),spin magnetization (μB per formula unit)
1,2.4,-4.7622,0.000
2,15.0,-5.6819,0.000